# GGA-PBEsol Sc2FePb, optimized geometry
# M_tot ... 2.314 μB per cell
# Calculated total energy ... -25.3 eV/f.u.
# Symmetry ... R3m, No. 160
# DFT formation energy ... 228 meV/atom
# D(E_F) ... 3.5 states/eV/cell
data_Sc2FePb
_space_group_name_H-M_alt 'P 1'
_space_group_IT_number 1
_cell_length_a 3.263
_cell_length_b 3.263
_cell_length_c 9.223
_cell_angle_alpha 79.81
_cell_angle_beta 79.81
_cell_angle_gamma 60.00
loop_
_space_group_symop_operation_xyz
'x,y,z'
loop_
_atom_site_label
_atom_site_type_symbol
_atom_site_fract_x
_atom_site_fract_y
_atom_site_fract_z
Sc1 Sc 0.998 0.998 0.006
Sc2 Sc 0.764 0.764 0.709
Fe1 Fe 0.499 0.499 0.502
Pb1 Pb 0.239 0.239 0.283


# GGA-PBEsol Sc2AlCrH, optimized geometry
# M_tot ... 1.922 μB per cell
# Calculated total energy ... -31.8 eV/f.u.
# Symmetry ... P4/mmm, No. 123
# D(E_F) ... 4.5 states/eV/cell
data_Sc2AlCrH
_space_group_name_H-M_alt 'P 1'
_space_group_IT_number 1
_cell_length_a 3.743
_cell_length_b 4.391
_cell_length_c 4.391
_cell_angle_alpha 90.00
_cell_angle_beta 90.00
_cell_angle_gamma 90.00
loop_
_space_group_symop_operation_xyz
'x,y,z'
loop_
_atom_site_label
_atom_site_type_symbol
_atom_site_fract_x
_atom_site_fract_y
_atom_site_fract_z
H1 H 0.000 0.000 0.000
Sc1 Sc 0.000 0.000 0.500
Sc2 Sc 0.000 0.500 0.000
Al1 Al 0.500 0.500 0.500
Cr1 Cr 0.500 0.000 0.000


# GGA-PBEsol KCrSb2, optimized geometry
# M_tot ... 2.166 μB per cell
# Calculated total energy ... -20.3 eV/f.u.
# Symmetry ... R-3m, No. 166
# Relative energy among the computed polymorphs ... 0.000 eV per atom
# ΔE_f (raw) ... 0.043 eV/atom
# D(E_F) ... 2.9 states/eV/cell
data_KCrSb2
_space_group_name_H-M_alt 'P 1'
_space_group_IT_number 1
_cell_length_a 3.638
_cell_length_b 3.638
_cell_length_c 9.178
_cell_angle_alpha 78.57
_cell_angle_beta 78.57
_cell_angle_gamma 60.00
loop_
_space_group_symop_operation_xyz
'x,y,z'
loop_
_atom_site_label
_atom_site_type_symbol
_atom_site_fract_x
_atom_site_fract_y
_atom_site_fract_z
Sb1 Sb 0.771 0.771 0.688
Sb2 Sb 0.229 0.229 0.312
K1 K 0.000 0.000 0.000
Cr1 Cr 0.500 0.500 0.500


# GGA-PBEsol NbCo2, optimized geometry
# M_tot ... 3.006 μB per cell
# Calculated total energy ... -26.8 eV/f.u.
# Symmetry ... P6_3/mmc, No. 194
# DFT formation energy ... -183 meV/atom
# D(E_F) ... 18.6 states/eV/cell
data_NbCo2
_space_group_name_H-M_alt 'P 1'
_space_group_IT_number 1
_cell_length_a 4.715
_cell_length_b 4.715
_cell_length_c 7.657
_cell_angle_alpha 90.00
_cell_angle_beta 90.00
_cell_angle_gamma 120.00
loop_
_space_group_symop_operation_xyz
'x,y,z'
loop_
_atom_site_label
_atom_site_type_symbol
_atom_site_fract_x
_atom_site_fract_y
_atom_site_fract_z
Co1 Co 0.168 0.832 0.750
Co2 Co 0.168 0.336 0.750
Co3 Co 0.000 0.000 0.500
Co4 Co 0.832 0.168 0.250
Co5 Co 0.000 0.000 0.000
Co6 Co 0.832 0.664 0.250
Co7 Co 0.664 0.832 0.750
Co8 Co 0.336 0.168 0.250
Nb1 Nb 0.667 0.333 0.565
Nb2 Nb 0.333 0.667 0.435
Nb3 Nb 0.333 0.667 0.065
Nb4 Nb 0.667 0.333 0.935


# GGA-PBEsol Cd3Ag, optimized geometry
# M_tot ... 0.000 μB per cell
# Calculated total energy ... -7.1 eV/f.u.
# Symmetry ... Pmmn, No. 59
# DFT formation energy ... -61 meV/atom
# D(E_F) ... 1.3 states/eV/cell
data_Cd3Ag
_space_group_name_H-M_alt 'P 1'
_space_group_IT_number 1
_cell_length_a 4.798
_cell_length_b 5.256
_cell_length_c 6.027
_cell_angle_alpha 90.00
_cell_angle_beta 90.00
_cell_angle_gamma 90.00
loop_
_space_group_symop_operation_xyz
'x,y,z'
loop_
_atom_site_label
_atom_site_type_symbol
_atom_site_fract_x
_atom_site_fract_y
_atom_site_fract_z
Ag1 Ag 0.000 0.671 0.000
Ag2 Ag 0.500 0.329 0.500
Cd1 Cd 0.500 0.831 0.749
Cd2 Cd 0.500 0.831 0.251
Cd3 Cd 0.500 0.343 0.000
Cd4 Cd 0.000 0.657 0.500
Cd5 Cd 0.000 0.169 0.751
Cd6 Cd 0.000 0.169 0.249


# GGA-PBEsol CrSbMo, optimized geometry
# M_tot ... 3.547 μB per cell
# Calculated total energy ... -24.2 eV/f.u.
# Symmetry ... F-43m, No. 216
# Relative energy among the computed polymorphs ... 0.501 eV per atom
# ΔE_f (raw) ... 0.803 eV/atom
# D(E_F) ... 3.6 states/eV/cell
data_CrSbMo
_space_group_name_H-M_alt 'P 1'
_space_group_IT_number 1
_cell_length_a 4.360
_cell_length_b 4.360
_cell_length_c 4.360
_cell_angle_alpha 60.00
_cell_angle_beta 60.00
_cell_angle_gamma 60.00
loop_
_space_group_symop_operation_xyz
'x,y,z'
loop_
_atom_site_label
_atom_site_type_symbol
_atom_site_fract_x
_atom_site_fract_y
_atom_site_fract_z
Sb1 Sb 0.250 0.250 0.250
Mo1 Mo 0.500 0.500 0.500
Cr1 Cr 0.000 0.000 0.000


# GGA-PBEsol K2CrIn, optimized geometry
# M_tot ... 4.214 μB per cell
# Calculated total energy ... -13.6 eV/f.u.
# Symmetry ... Pmm2, No. 25
# DFT formation energy ... 480 meV/atom
# D(E_F) ... 2.5 states/eV/cell
data_K2CrIn
_space_group_name_H-M_alt 'P 1'
_space_group_IT_number 1
_cell_length_a 3.648
_cell_length_b 3.960
_cell_length_c 10.123
_cell_angle_alpha 90.00
_cell_angle_beta 90.00
_cell_angle_gamma 90.00
loop_
_space_group_symop_operation_xyz
'x,y,z'
loop_
_atom_site_label
_atom_site_type_symbol
_atom_site_fract_x
_atom_site_fract_y
_atom_site_fract_z
K1 K 0.000 0.000 0.925
K2 K 0.500 0.500 0.322
Cr1 Cr 0.000 0.000 0.589
In1 In 0.500 0.500 0.665


# GGA-PBEsol LiInO3, optimized geometry
# M_tot ... 2.056 μB per cell
# Calculated total energy ... -23.2 eV/f.u.
# Symmetry ... Pm-3m, No. 221
# ΔE_f (raw) ... -0.500 eV/atom
# D(E_F) ... 2.4 states/eV/cell
data_LiInO3
_space_group_name_H-M_alt 'P 1'
_space_group_IT_number 1
_cell_length_a 3.611
_cell_length_b 3.611
_cell_length_c 3.611
_cell_angle_alpha 90.00
_cell_angle_beta 90.00
_cell_angle_gamma 90.00
loop_
_space_group_symop_operation_xyz
'x,y,z'
loop_
_atom_site_label
_atom_site_type_symbol
_atom_site_fract_x
_atom_site_fract_y
_atom_site_fract_z
O1 O 0.000 0.000 0.500
O2 O 0.500 0.000 0.000
O3 O 0.000 0.500 0.000
In1 In 0.500 0.500 0.500
Li1 Li 0.000 0.000 0.000